(1)
Computed, not measured: crystalline SmTmMgHg at its relaxed geometry at the PBE-GGA level of DFT.

Values from the calculation:
Calculated formation energy: -0.255 eV/atom
Total DFT energy (no corrections): -3.0272 eV/atom
Distance to the lowest polymorph of the same formula: 1.7 kJ/mol of atoms
Density of states at the Fermi level: 4.36 states/eV/f.u.
Magnetic moment: 0.001 μB/atom

Cell and atoms, written as CIF:
```
data_SmTmMgHg
_chemical_formula_sum 'Sm4 Tm4 Mg4 Hg4'
_space_group_name_H-M_alt 'F -4 3 m'
_space_group_IT_number 216
_space_group_name_Hall 'F -4 2 3'
_cell_length_a 7.5185
_cell_length_b 7.5185
_cell_length_c 7.5185
_cell_angle_alpha 90.00
_cell_angle_beta 90.00
_cell_angle_gamma 90.00
loop_
_atom_site_label
_atom_site_fract_x
_atom_site_fract_y
_atom_site_fract_z
Sm1 0.0000 0.0000 0.0000
Tm1 0.0000 0.0000 0.5000
Mg1 0.2500 0.2500 0.7500
Hg1 0.2500 0.2500 0.2500
```

***

(2)
Computed, not measured: crystalline PmEr8Bi6 at its relaxed geometry at the PBE-GGA level of DFT.

Values from the calculation:
Calculated formation energy: -0.485 eV/atom
Total DFT energy (no corrections): -4.7881 eV/atom
Density of states at the Fermi level: 9.46 states/eV/f.u.
Magnetic moment: 0.000 μB/atom

Cell and atoms, written as CIF:
```
data_PmEr8Bi6
_chemical_formula_sum 'Pm3 Er24 Bi18'
_space_group_name_H-M_alt 'R -3'
_space_group_IT_number 148
_space_group_name_Hall '-R 3'
_cell_length_a 7.6220
_cell_length_b 7.6220
_cell_length_c 29.3828
_cell_angle_alpha 90.00
_cell_angle_beta 90.00
_cell_angle_gamma 120.00
loop_
_atom_site_label
_atom_site_fract_x
_atom_site_fract_y
_atom_site_fract_z
Pm1 0.0000 0.0000 0.0000
Er1 0.0000 0.0000 0.3337
Er2 0.0032 0.6761 0.1221
Bi1 0.0020 0.6603 0.9366
```